PBE Ta2Tl2Fe, optimized geometry; E = -66.85 eV/cell; E_form = 0.6954 eV per atom; crystal system = tetragonal; distance to the lowest polymorph of the same formula = 0.00 eV per formula unit
1.0
6.4138 0.0000 0.0000
0.0000 6.4138 0.0000
0.0000 0.0000 4.9609
Tl Fe Ta
4 2 4
direct
0.1711 0.6711 0.5000
0.6711 0.8289 0.5000
0.8289 0.3289 0.5000
0.3289 0.1711 0.5000
0.0000 0.0000 0.0000
0.5000 0.5000 0.0000
0.3430 0.8430 0.0000
0.8430 0.6570 0.0000
0.6570 0.1570 0.0000
0.1570 0.3430 0.0000